## SrIn2C (PBE)

Data for crystalline SrIn2C at its relaxed geometry.

Results
Energy of formation from the pure elements in meV per atom: 467.0
Space group: No. 122
DFT total energy in eV per atom: -3.63

Unit cell a=8.0694 b=8.0694 c=6.3750 alpha=50.74 beta=50.74 gamma=90.00
With the nearest neighbours (Å) after each atom.
Fractional positions:
C 0.5000 0.5000 0.0000  4 In 2.47
C 0.2500 0.7500 0.5000  4 In 2.47
Sr 0.0000 0.0000 0.0000  2 C 2.84
Sr 0.7500 0.2500 0.5000  2 C 2.84
In 0.8750 0.7780 0.7500  2 C 2.47
In 0.5280 0.1250 0.2500  2 C 2.47
In 0.2220 0.6250 0.2500  2 C 2.47
In 0.3750 0.4720 0.7500  2 C 2.47